Entry from the Alexandria database: a relaxed Li2Cu2Si crystal (PBE-GGA).

Cell lengths 4.0599, 4.0599, 4.9197 Å; angles 113.93, 113.93, 60.20 degrees
Closest atoms and distances in Å follow each position.
Element x y z (fractional)
Li (0.1998, 0.1998, 0.0985)  3 Li 2.49-2.50, 4 Cu 2.49-2.55, 1 Si 2.60
Li (0.8002, 0.8002, 0.9015)  3 Li 2.49-2.50, 4 Cu 2.49-2.55, 1 Si 2.60
Cu (0.3908, 0.3908, 0.6726)  3 Si 2.46, 4 Li 2.49-2.55
Cu (0.6092, 0.6092, 0.3274)  3 Si 2.46, 4 Li 2.49-2.55
Si (0.0000, 0.0000, 0.5000)  6 Cu 2.46, 2 Li 2.60

Values from the calculation:
Uncorrected energy ... -3.715 eV per atom
Space-group type ... C2/m (12)
Total magnetic moment ... 0.000 μB per atom
Raw formation energy ... -226.4 meV/atom
E above lowest polymorph ... 0 meV/atom